Density functional theory data (GGA-PBE) for an optimized crystal structure of Ca3PmPb3.

The calculation puts the volume at 1002 Å³ per cell. The density of states at the Fermi level comes out at 0.553 states/eV per atom. As for the crystal system: monoclinic. The formation energy is -0.308 eV/atom. The total energy is -3.43 eV/atom.

The space group is C2/m (No. 12) and the conventional cell measures 9.771, 12.921 and 7.946 Å, with angles of 90.00, 93.04 and 90.00 degrees. The distinct sites, in fractional coordinates, are Ca at (0.000, 0.141, 0.000), Ca at (0.000, 0.241, 0.500), Ca at (0.131, 0.500, 0.156), Pm at (0.229, 0.500, 0.632), Pb at (0.071, 0.000, 0.673) and Pb at (0.197, 0.306, 0.838).

---

Density functional theory data (GGA-PBE) for an optimized crystal structure of CaPmPb2.

The calculation puts the volume at 120 Å³ per cell. The density of states at the Fermi level comes out at 0.736 states/eV per atom. As for the crystal system: tetragonal. The formation energy is -0.499 eV/atom. The total energy is -4.04 eV/atom.

The space group is P4/mmm (No. 123) and the conventional cell measures 5.189, 5.189 and 4.470 Å, with angles of 90.00, 90.00 and 90.00 degrees. The distinct sites, in fractional coordinates, are Ca at (0.000, 0.000, 0.000), Pm at (0.500, 0.500, 0.000) and Pb at (0.000, 0.500, 0.500).

---

Density functional theory data (GGA-PBE) for an optimized crystal structure of CaPmPrPb.

The calculation puts the volume at 512 Å³ per cell. The density of states at the Fermi level comes out at 1.355 states/eV per atom. As for the crystal system: cubic. The formation energy is -0.189 eV/atom. The total energy is -4.00 eV/atom.

The space group is F-43m (No. 216) and the conventional cell measures 8.003, 8.003 and 8.003 Å, with angles of 90.00, 90.00 and 90.00 degrees. The distinct sites, in fractional coordinates, are Ca at (0.000, 0.000, 0.000), Pm at (0.250, 0.250, 0.750), Pr at (0.250, 0.250, 0.250) and Pb at (0.000, 0.000, 0.500).

---

Density functional theory data (GGA-PBE) for an optimized crystal structure of CaPmPuPb.

The calculation puts the volume at 493 Å³ per cell. The density of states at the Fermi level comes out at 3.017 states/eV per atom. As for the crystal system: cubic. The formation energy is 0.053 eV/atom. The total energy is -6.14 eV/atom.

The space group is F-43m (No. 216) and the conventional cell measures 7.899, 7.899 and 7.899 Å, with angles of 90.00, 90.00 and 90.00 degrees. The distinct sites, in fractional coordinates, are Ca at (0.000, 0.000, 0.000), Pm at (0.250, 0.250, 0.250), Pu at (0.000, 0.000, 0.500) and Pb at (0.250, 0.250, 0.750).

---

Density functional theory data (GGA-PBE) for an optimized crystal structure of CaPmRhPb.

The calculation puts the volume at 404 Å³ per cell. The calculation puts the offset from the most stable computed form at 122 meV per atom. The density of states at the Fermi level comes out at 0.552 states/eV per atom. As for the crystal system: cubic. The formation energy is -0.423 eV/atom. The total energy is -4.88 eV/atom.

The space group is F-43m (No. 216) and the conventional cell measures 7.395, 7.395 and 7.395 Å, with angles of 90.00, 90.00 and 90.00 degrees. The distinct sites, in fractional coordinates, are Ca at (0.000, 0.000, 0.000), Pm at (0.000, 0.000, 0.500), Rh at (0.250, 0.250, 0.750) and Pb at (0.250, 0.250, 0.250).

---

Density functional theory data (GGA-PBE) for an optimized crystal structure of CaPmRhPb.

The calculation puts the volume at 103 Å³ per cell. The calculation puts the offset from the most stable computed form at 0 meV per atom. The density of states at the Fermi level comes out at 0.454 states/eV per atom. As for the crystal system: tetragonal. The formation energy is -0.545 eV/atom. The total energy is -5.00 eV/atom.

The space group is P4mm (No. 99) and the conventional cell measures 3.494, 3.494 and 8.410 Å, with angles of 90.00, 90.00 and 90.00 degrees. The distinct sites, in fractional coordinates, are Ca at (0.000, 0.000, 0.000), Pm at (0.000, 0.000, 0.584), Rh at (0.500, 0.500, 0.778) and Pb at (0.500, 0.500, 0.286).

---

Density functional theory data (GGA-PBE) for an optimized crystal structure of CaPmRh2Pb4.

The calculation puts the volume at 222 Å³ per cell. The density of states at the Fermi level comes out at 0.856 states/eV per atom. As for the crystal system: tetragonal. The formation energy is -0.214 eV/atom. The total energy is -4.75 eV/atom.

The space group is P4/mmm (No. 123) and the conventional cell measures 4.469, 4.469 and 11.099 Å, with angles of 90.00, 90.00 and 90.00 degrees. The distinct sites, in fractional coordinates, are Ca at (0.000, 0.000, 0.000), Pm at (0.000, 0.000, 0.500), Rh at (0.500, 0.500, 0.389) and Pb at (0.000, 0.500, 0.229).

---

Density functional theory data (GGA-PBE) for an optimized crystal structure of Ca3PmPb2S.

The calculation puts the volume at 460 Å³ per cell. The density of states at the Fermi level comes out at 0.576 states/eV per atom. As for the crystal system: orthorhombic. The uncorrected formation energy comes out at -0.87 eV/atom. The total energy is -4.05 eV/atom.

The space group is Immm (No. 71) and the conventional cell measures 5.197, 5.388 and 16.442 Å, with angles of 90.00, 90.00 and 90.00 degrees. The distinct sites, in fractional coordinates, are Ca at (0.000, 0.000, 0.000), Ca at (0.000, 0.500, 0.324), Pm at (0.000, 0.000, 0.500), Pb at (0.000, 0.500, 0.129) and S at (0.000, 0.500, 0.500).

---

Density functional theory data (GGA-PBE) for an optimized crystal structure of Ca2PmPbS4.

The calculation puts the volume at 194 Å³ per cell. The density of states at the Fermi level comes out at 0.386 states/eV per atom. As for the crystal system: monoclinic. The uncorrected formation energy comes out at -1.65 eV/atom. The total energy is -5.27 eV/atom.

The space group is P2/m (No. 10) and the conventional cell measures 7.090, 4.057 and 7.139 Å, with angles of 90.00, 109.26 and 90.00 degrees. The distinct sites, in fractional coordinates, are Ca at (0.000, 0.000, 0.000), Ca at (0.000, 0.500, 0.500), Pm at (0.500, 0.000, 0.500), Pb at (0.500, 0.500, 0.000), S at (0.240, 0.000, 0.738) and S at (0.243, 0.500, 0.253).

---

Density functional theory data (GGA-PBE) for an optimized crystal structure of CaPmSbPb.

The calculation puts the volume at 478 Å³ per cell. The density of states at the Fermi level comes out at 1.180 states/eV per atom. As for the crystal system: cubic. The uncorrected formation energy comes out at -0.59 eV/atom. The total energy is -4.24 eV/atom.

The space group is F-43m (No. 216) and the conventional cell measures 7.817, 7.817 and 7.817 Å, with angles of 90.00, 90.00 and 90.00 degrees. The distinct sites, in fractional coordinates, are Ca at (0.000, 0.000, 0.000), Pm at (0.000, 0.000, 0.500), Sb at (0.250, 0.250, 0.750) and Pb at (0.250, 0.250, 0.250).

---

Density functional theory data (GGA-PBE) for an optimized crystal structure of Ca2PmPbSe4.

The calculation puts the volume at 218 Å³ per cell. The density of states at the Fermi level comes out at 0.404 states/eV per atom. As for the crystal system: monoclinic. The uncorrected formation energy comes out at -1.55 eV/atom. The total energy is -4.85 eV/atom.

The space group is P2/m (No. 10) and the conventional cell measures 7.380, 4.225 and 7.422 Å, with angles of 90.00, 109.26 and 90.00 degrees. The distinct sites, in fractional coordinates, are Ca at (0.000, 0.000, 0.000), Ca at (0.000, 0.500, 0.500), Pm at (0.500, 0.000, 0.500), Pb at (0.500, 0.500, 0.000), Se at (0.242, 0.000, 0.741) and Se at (0.244, 0.500, 0.252).

---

Density functional theory data (GGA-PBE) for an optimized crystal structure of CaPmSiPb.

The calculation puts the volume at 432 Å³ per cell. The density of states at the Fermi level comes out at 0.956 states/eV per atom. As for the crystal system: cubic. The uncorrected formation energy comes out at -0.32 eV/atom. The total energy is -4.29 eV/atom.

The space group is F-43m (No. 216) and the conventional cell measures 7.558, 7.558 and 7.558 Å, with angles of 90.00, 90.00 and 90.00 degrees. The distinct sites, in fractional coordinates, are Ca at (0.000, 0.000, 0.000), Pm at (0.000, 0.000, 0.500), Si at (0.250, 0.250, 0.750) and Pb at (0.250, 0.250, 0.250).